Entry from the Alexandria database: a crystal of BeMoOs2 relaxed with PBEsol (meta-GGA SCAN).

Properties
The density of states at the Fermi level is 2.277 states/eV per cell. The energy of formation from the pure elements is -0.143 eV per atom. Its space group is P4/mmm, No. 123. The calculated volume comes out at 12.72 Å³/atom. The calculation puts the total moment at 0.00 μB/atom. For the density, the calculation gives 15.841 Mg/m³.

Cell: 2.838 2.838 6.318 Å, 90.00 90.00 90.00°
Positions (direct):
Be 0.000 0.000 0.000
Mo 0.000 0.000 0.500
Os 0.500 0.500 0.217
Os 0.500 0.500 0.783

=====

Entry from the Alexandria database: a crystal of Y4CrW relaxed with PBEsol (meta-GGA SCAN).

Properties
The density of states at the Fermi level is 7.820 states/eV per cell. The energy of formation from the pure elements is 1.126 eV per atom. Its space group is F-43m, No. 216. The calculated volume comes out at 24.56 Å³/atom. The calculation puts the total moment at 0.79 μB/atom. For the density, the calculation gives 6.666 Mg/m³.

Cell: 5.928 5.928 5.928 Å, 60.00 60.00 60.00°
Positions (direct):
Y 0.376 0.376 0.376
Y 0.376 0.376 0.872
Y 0.376 0.872 0.376
Y 0.872 0.376 0.376
Cr 0.000 0.000 0.000
W 0.750 0.750 0.750

=====

Entry from the Alexandria database: a crystal of CrPdSe2Br relaxed with PBEsol (meta-GGA SCAN).

Properties
The density of states at the Fermi level is 3.503 states/eV per cell. Its space group is P4/mmm, No. 123. The calculated volume comes out at 21.64 Å³/atom. The calculation puts the total moment at 0.27 μB/atom. For the density, the calculation gives 6.082 Mg/m³. The formation energy (no corrections) comes out at 234 meV/atom.

Cell: 4.639 4.639 5.027 Å, 90.00 90.00 90.00°
Positions (direct):
Cr 0.000 0.000 0.000
Pd 0.500 0.500 0.500
Se 0.000 0.500 0.000
Se 0.500 0.000 0.000
Br 0.000 0.000 0.500

=====

Entry from the Alexandria database: a crystal of SrIn2Br relaxed with PBEsol (meta-GGA SCAN).

Properties
The density of states at the Fermi level is 1.388 states/eV per cell. Its energy relative to the lowest polymorph listed for this composition is 0.000 eV per atom. Its space group is P4mm, No. 99. The calculated volume comes out at 30.21 Å³/atom. The calculation puts the total moment at 0.00 μB/atom. For the density, the calculation gives 5.459 Mg/m³. The formation energy (no corrections) comes out at -805 meV/atom.

Cell: 3.847 3.847 8.163 Å, 90.00 90.00 90.00°
Positions (direct):
Sr 0.000 0.000 0.000
In 0.000 0.000 0.532
In 0.500 0.500 0.709
Br 0.500 0.500 0.180

=====

Entry from the Alexandria database: a crystal of Y2SiICl relaxed with PBEsol (meta-GGA SCAN).

Properties
The density of states at the Fermi level is 3.404 states/eV per cell. Its space group is P4/mmm, No. 123. The calculated volume comes out at 32.27 Å³/atom. The calculation puts the total moment at 0.18 μB/atom. For the density, the calculation gives 3.790 Mg/m³. The formation energy (no corrections) comes out at 401 meV/atom.

Cell: 5.617 5.617 5.113 Å, 90.00 90.00 90.00°
Positions (direct):
Y 0.000 0.500 0.000
Y 0.500 0.000 0.000
Si 0.000 0.000 0.500
I 0.000 0.000 0.000
Cl 0.500 0.500 0.500

=====

Entry from the Alexandria database: a crystal of GdCu2Te3 relaxed with PBEsol (meta-GGA SCAN).

Properties
The density of states at the Fermi level is 5.547 states/eV per cell. Its space group is C2/m, No. 12. The calculated volume comes out at 26.29 Å³/atom. The calculation puts the total moment at 1.15 μB/atom. For the density, the calculation gives 7.024 Mg/m³. The formation energy (no corrections) comes out at -624 meV/atom.

Cell: 10.780 10.780 7.566 Å, 100.29 100.29 21.40°
Positions (direct):
Gd 0.153 0.153 0.027
Gd 0.847 0.847 0.973
Cu 0.211 0.211 0.416
Cu 0.450 0.450 0.863
Cu 0.550 0.550 0.137
Cu 0.789 0.789 0.584
Te 0.088 0.088 0.350
Te 0.247 0.247 0.757
Te 0.432 0.432 0.193
Te 0.568 0.568 0.807
Te 0.753 0.753 0.243
Te 0.912 0.912 0.650

=====

Entry from the Alexandria database: a crystal of Cu3Mo relaxed with PBEsol (meta-GGA SCAN).

Properties
The density of states at the Fermi level is 5.394 states/eV per cell. The energy of formation from the pure elements is 0.499 eV per atom. Its space group is Pm-3m, No. 221. The calculated volume comes out at 12.67 Å³/atom. The calculation puts the total moment at 0.52 μB/atom. For the density, the calculation gives 9.393 Mg/m³.

Cell: 3.700 3.700 3.700 Å, 90.00 90.00 90.00°
Positions (direct):
Cu 0.000 0.000 0.500
Cu 0.000 0.500 0.000
Cu 0.500 0.000 0.000
Mo 0.500 0.500 0.500

=====

Entry from the Alexandria database: a crystal of KCu4Sb2 relaxed with PBEsol (meta-GGA SCAN).

Properties
The density of states at the Fermi level is 2.023 states/eV per cell. Its space group is R-3m, No. 166. The calculated volume comes out at 20.05 Å³/atom. The calculation puts the total moment at 0.00 μB/atom. For the density, the calculation gives 6.351 Mg/m³. The formation energy (no corrections) comes out at -170 meV/atom.

Cell: 9.386 9.386 9.386 Å, 26.03 26.03 26.03°
Positions (direct):
K 0.000 0.000 0.000
Cu 0.145 0.145 0.145
Cu 0.454 0.454 0.454
Cu 0.546 0.546 0.546
Cu 0.855 0.855 0.855
Sb 0.242 0.242 0.242
Sb 0.758 0.758 0.758

=====

Entry from the Alexandria database: a crystal of RhSe3Cl relaxed with PBEsol (meta-GGA SCAN).

Properties
The density of states at the Fermi level is 6.297 states/eV per cell. Its space group is Pm-3m, No. 221. The calculated volume comes out at 22.19 Å³/atom. The calculation puts the total moment at 0.00 μB/atom. For the density, the calculation gives 5.615 Mg/m³. The formation energy (no corrections) comes out at 464 meV/atom.

Cell: 4.805 4.805 4.805 Å, 90.00 90.00 90.00°
Positions (direct):
Rh 0.000 0.000 0.000
Se 0.000 0.000 0.500
Se 0.000 0.500 0.000
Se 0.500 0.000 0.000
Cl 0.500 0.500 0.500

=====

Entry from the Alexandria database: a crystal of Al2TcBr relaxed with PBEsol (meta-GGA SCAN).

Properties
The density of states at the Fermi level is 3.117 states/eV per cell. Its energy relative to the lowest polymorph listed for this composition is 0.729 eV per atom. Its space group is I-4m2, No. 119. The calculated volume comes out at 16.06 Å³/atom. The calculation puts the total moment at 0.00 μB/atom. For the density, the calculation gives 5.994 Mg/m³. The formation energy (no corrections) comes out at 611 meV/atom.

Cell: 4.221 4.221 7.211 Å, 90.00 90.00 90.00°
Positions (direct):
Al 0.000 0.000 0.000
Al 0.000 0.500 0.250
Al 0.500 0.000 0.750
Al 0.500 0.500 0.500
Tc 0.000 0.500 0.750
Tc 0.500 0.000 0.250
Br 0.000 0.000 0.500
Br 0.500 0.500 0.000

=====

Entry from the Alexandria database: a crystal of TiCuPb3 relaxed with PBEsol (meta-GGA SCAN).

Properties
The density of states at the Fermi level is 3.503 states/eV per cell. The energy of formation from the pure elements is 0.551 eV per atom. Its space group is Pm-3m, No. 221. The calculated volume comes out at 26.77 Å³/atom. The calculation puts the total moment at 0.49 μB/atom. For the density, the calculation gives 9.095 Mg/m³.

Cell: 5.115 5.115 5.115 Å, 90.00 90.00 90.00°
Positions (direct):
Ti 0.000 0.000 0.000
Cu 0.500 0.500 0.500
Pb 0.000 0.500 0.500
Pb 0.500 0.000 0.500
Pb 0.500 0.500 0.000

=====

Entry from the Alexandria database: a crystal of Mg2AsPb relaxed with PBEsol (meta-GGA SCAN).

Properties
The density of states at the Fermi level is 1.252 states/eV per cell. The energy of formation from the pure elements is -0.292 eV per atom. Its energy relative to the lowest polymorph listed for this composition is 0.044 eV per atom. Its space group is Pmm2, No. 25. The calculated volume comes out at 24.43 Å³/atom. The calculation puts the total moment at 0.00 μB/atom. For the density, the calculation gives 5.620 Mg/m³.

Cell: 3.219 3.872 7.841 Å, 90.00 90.00 90.00°
Positions (direct):
Mg 0.000 0.000 0.000
Mg 0.000 0.500 0.411
As 0.500 0.500 0.131
Pb 0.500 0.000 0.655